[1]
AgIrAu2: relaxed, PBE.

Structure (POSCAR):
```
AgIrAu2
1.0
0.000 3.246 3.246
3.246 0.000 3.246
3.246 3.246 0.000
Ag Ir Au
1 1 2
direct
0.000 0.000 0.000
0.500 0.500 0.500
0.250 0.250 0.250
0.750 0.750 0.750
```

Properties
- Magnetic moment: 0.00 μB/cell
- Formation energy: 0.374 eV/atom
- Energy above the lowest structure with this stoichiometry: 0.152 eV/atom
- Energy: -16.8 eV per formula unit

[2]
LuMn2Ge2: relaxed, PBE.

Structure (POSCAR):
```
LuMn2Ge2
1.0
-1.948 1.948 5.379
1.948 -1.948 5.379
1.948 1.948 -5.379
Lu Mn Ge
1 2 2
direct
0.000 0.000 0.000
0.250 0.750 0.500
0.750 0.250 0.500
0.383 0.383 0.000
0.617 0.617 0.000
```

Properties
- Magnetic moment: 4.03 μB/cell
- Formation energy: -0.446 eV/atom
- Energy: -34.3 eV per formula unit

[3]
Ca2AcTl9: relaxed, PBE.

Structure (POSCAR):
```
Ca2AcTl9
1.0
4.933 0.000 0.000
0.000 4.933 0.000
0.000 0.000 14.623
Ca Ac Tl
2 1 9
direct
0.000 0.000 0.162
0.000 0.000 0.838
0.000 0.000 0.500
0.000 0.500 0.000
0.000 0.500 0.325
0.000 0.500 0.675
0.500 0.000 0.000
0.500 0.000 0.325
0.500 0.000 0.675
0.500 0.500 0.165
0.500 0.500 0.500
0.500 0.500 0.835
```

Properties
- Magnetic moment: 0.00 μB/cell
- Formation energy: -0.260 eV/atom
- Energy: -32.5 eV per formula unit

[4]
CoSiP: relaxed, PBE.

Structure (POSCAR):
```
CoSiP
1.0
5.969 0.000 0.000
0.000 4.251 0.000
0.000 0.000 6.000
Co Si P
4 4 4
direct
0.239 0.250 0.003
0.261 0.750 0.503
0.739 0.250 0.497
0.761 0.750 0.997
0.098 0.250 0.631
0.402 0.750 0.131
0.598 0.250 0.869
0.902 0.750 0.369
0.119 0.750 0.864
0.381 0.250 0.364
0.619 0.750 0.636
0.881 0.250 0.136
```

Properties
- Magnetic moment: 0.00 μB/cell
- ΔE_f (raw): -0.3075 eV/atom
- Energy: -18.9 eV per formula unit

[5]
LiZnI3: relaxed, PBE.

Structure (POSCAR):
```
LiZnI3
1.0
5.685 0.000 0.000
0.000 5.685 0.000
0.000 0.000 5.685
Li Zn I
1 1 3
direct
0.000 0.000 0.000
0.500 0.500 0.500
0.000 0.500 0.500
0.500 0.000 0.500
0.500 0.500 0.000
```

Properties
- Magnetic moment: 0.00 μB/cell
- ΔE_f (raw): -0.4361 eV/atom
- Energy above the lowest structure with this stoichiometry: 0.383 eV/atom
- Energy: -10.0 eV per formula unit

[6]
La6TlPd2: relaxed, PBE.

Structure (POSCAR):
```
La6TlPd2
1.0
-4.915 5.224 5.499
4.915 -5.224 5.499
4.915 5.224 -5.499
La Tl Pd
12 2 4
direct
0.039 0.237 0.803
0.182 0.290 0.472
0.182 0.710 0.892
0.326 0.022 0.696
0.326 0.630 0.304
0.434 0.237 0.197
0.566 0.763 0.803
0.674 0.370 0.696
0.674 0.978 0.304
0.818 0.290 0.108
0.818 0.710 0.528
0.961 0.763 0.197
0.000 0.000 0.000
0.500 0.500 0.000
0.129 0.629 0.500
0.350 0.000 0.350
0.650 0.000 0.650
0.871 0.371 0.500
```

Properties
- Magnetic moment: 0.00 μB/cell
- Formation energy: -0.458 eV/atom
- Energy: -46.4 eV per formula unit

Q: Number 2 is which compound?
A: LuMn2Ge2